## i
Computed, not measured: CoSiBr after structural relaxation at the PBE level of DFT.

Geometry as extended XYZ:
```
6
Lattice="3.2239 0.0000 0.0000 1.5562 3.9546 0.0000 0.6003 0.1382 9.4146" Properties=species:S:1:pos:R:3 pbc="T T T"
Co 0.0000 0.0000 0.0000
Co 2.1891 2.0250 8.0036
Si 3.7914 3.6712 7.7150
Si 3.1525 2.1986 0.3200
Br 1.9830 3.1644 2.2874
Br 2.1971 1.0225 5.7614
```

Properties
* SG: P1 (1)
* total moment: 0.01 μB per cell

***

## ii
Computed, not measured: CoSiBr after structural relaxation at the PBE level of DFT.

Geometry as extended XYZ:
```
6
Lattice="3.0702 0.0000 0.0000 -0.0001 3.6005 0.0000 -1.4374 -0.0586 10.1057" Properties=species:S:1:pos:R:3 pbc="T T T"
Co -0.0003 0.9003 0.9707
Co 1.6331 2.6416 9.1350
Si 0.0978 0.8414 9.1982
Si 1.5350 2.7006 0.9075
Br -0.0005 0.8985 3.3323
Br 1.6333 2.6434 6.7734
```

Properties
* SG: P-1 (2)
* total moment: 0.00 μB per cell

***

Out of the structures above, which one is the least stable? Solution: ii.